A plane-wave DFT calculation with GGA-PBE was carried out for a relaxed LaZn crystal.

Cell lengths 7.2803, 5.3822, 8.1553 Å; angles 90.00, 105.06, 90.00 degrees
Closest atoms and distances in Å follow each position.
Element x y z (fractional)
La 0.0059 0.2500 0.4170  2 Zn 3.02-3.26, 3 La 3.02-3.19
La 0.2719 0.2500 0.7955  4 Zn 2.97-3.11, 1 La 3.19
La 0.4577 0.2500 0.3209  5 Zn 3.22-3.53, 1 La 3.57
La 0.5423 0.7500 0.6791  5 Zn 3.22-3.53, 1 La 3.57
La 0.7281 0.7500 0.2045  4 Zn 2.97-3.11, 1 La 3.19
La 0.9941 0.7500 0.5830  2 Zn 3.02-3.26, 3 La 3.02-3.19
Zn 0.0321 0.2500 0.0532  4 Zn 2.55-2.83
Zn 0.2076 0.7500 0.2783  2 Zn 2.69-2.81
Zn 0.3280 0.7500 0.9933  2 Zn 2.55-2.69
Zn 0.6720 0.2500 0.0067  2 Zn 2.55-2.69
Zn 0.7924 0.2500 0.7217  2 Zn 2.69-2.81
Zn 0.9679 0.7500 0.9468  4 Zn 2.55-2.83

Summary:
Energy of formation from the pure elements: -0.092 eV per atom
Mass density: 6.597 g cm⁻³


A plane-wave DFT calculation with GGA-PBE was carried out for a relaxed LaZn3 crystal.

Cell lengths 6.6477, 6.6477, 4.4129 Å; angles 90.00, 90.00, 120.00 degrees
Closest atoms and distances in Å follow each position.
Element x y z (fractional)
La 0.3333 0.6667 0.2500  12 Zn 3.13-3.34
La 0.6667 0.3333 0.7500  12 Zn 3.13-3.34
Zn 0.1406 0.2813 0.7500  6 Zn 2.74-2.80
Zn 0.1406 0.8594 0.7500  6 Zn 2.74-2.80
Zn 0.2813 0.1406 0.2500  6 Zn 2.74-2.80
Zn 0.7187 0.8594 0.7500  6 Zn 2.74-2.80
Zn 0.8594 0.1406 0.2500  6 Zn 2.74-2.80
Zn 0.8594 0.7187 0.2500  6 Zn 2.74-2.80

Summary:
Energy of formation from the pure elements: -0.298 eV per atom
Mass density: 6.591 g cm⁻³


A plane-wave DFT calculation with GGA-PBE was carried out for a relaxed LaZn crystal.

Cell lengths 4.8312, 13.5986, 5.9337 Å; angles 90.00, 90.00, 90.00 degrees
Closest atoms and distances in Å follow each position.
Element x y z (fractional)
La 0.2500 0.0061 0.2052  3 Zn 3.08-3.32, 5 La 3.18-3.43
La 0.2500 0.1361 0.6689  4 La 3.10-3.27, 6 Zn 3.22-3.38
La 0.2500 0.3639 0.6689  4 La 3.10-3.27, 6 Zn 3.22-3.38
La 0.2500 0.4939 0.2052  3 Zn 3.08-3.32, 5 La 3.18-3.43
La 0.7500 0.5061 0.7948  3 Zn 3.08-3.32, 5 La 3.18-3.43
La 0.7500 0.6361 0.3311  4 La 3.10-3.27, 6 Zn 3.22-3.38
La 0.7500 0.8639 0.3311  4 La 3.10-3.27, 6 Zn 3.22-3.38
La 0.7500 0.9939 0.7948  3 Zn 3.08-3.32, 5 La 3.18-3.43
Zn 0.2500 0.2500 0.1761  6 Zn 2.87-2.92
Zn 0.2500 0.6412 0.7044  4 Zn 2.69-2.96
Zn 0.2500 0.7500 0.0839  4 Zn 2.69-2.87
Zn 0.2500 0.8588 0.7044  4 Zn 2.69-2.96
Zn 0.7500 0.1412 0.2956  4 Zn 2.69-2.96
Zn 0.7500 0.2500 0.9161  4 Zn 2.69-2.87
Zn 0.7500 0.3588 0.2956  4 Zn 2.69-2.96
Zn 0.7500 0.7500 0.8239  6 Zn 2.87-2.92

Summary:
Energy of formation from the pure elements: -0.034 eV per atom
Mass density: 6.963 g cm⁻³


A plane-wave DFT calculation with GGA-PBE was carried out for a relaxed LaZn11 crystal.

Cell lengths 8.2608, 8.2608, 8.2608 Å; angles 99.95, 99.95, 130.87 degrees
Closest atoms and distances in Å follow each position.
Element x y z (fractional)
La 0.3750 0.6250 0.7500  18 Zn 3.29-3.43
La 0.6250 0.3750 0.2500  18 Zn 3.29-3.43
Zn 0.0000 0.0000 0.0000  10 Zn 2.60-2.79
Zn 0.0000 0.0000 0.5000  10 Zn 2.60-2.79
Zn 0.0000 0.5000 0.0000  10 Zn 2.60-2.79
Zn 0.1250 0.8750 0.2500  12 Zn 2.79-2.88
Zn 0.1343 0.5566 0.3340  9 Zn 2.59-2.90
Zn 0.1343 0.8002 0.5777  9 Zn 2.59-2.90
Zn 0.1998 0.2775 0.3340  9 Zn 2.59-2.90
Zn 0.1998 0.8657 0.9223  9 Zn 2.59-2.90
Zn 0.2775 0.1998 0.8340  9 Zn 2.59-2.90
Zn 0.2775 0.4434 0.0777  9 Zn 2.59-2.90
Zn 0.4434 0.2775 0.5777  9 Zn 2.59-2.90
Zn 0.4434 0.8657 0.1660  9 Zn 2.59-2.90
Zn 0.5000 0.0000 0.5000  10 Zn 2.60-2.79
Zn 0.5566 0.1343 0.8340  9 Zn 2.59-2.90
Zn 0.5566 0.7225 0.4223  9 Zn 2.59-2.90
Zn 0.7225 0.5566 0.9223  9 Zn 2.59-2.90
Zn 0.7225 0.8002 0.1660  9 Zn 2.59-2.90
Zn 0.8002 0.1343 0.0777  9 Zn 2.59-2.90
Zn 0.8002 0.7225 0.6660  9 Zn 2.59-2.90
Zn 0.8657 0.1998 0.4223  9 Zn 2.59-2.90
Zn 0.8657 0.4434 0.6660  9 Zn 2.59-2.90
Zn 0.8750 0.1250 0.7500  12 Zn 2.79-2.88

Summary:
Energy of formation from the pure elements: -0.231 eV per atom
Mass density: 7.353 g cm⁻³


A plane-wave DFT calculation with GGA-PBE was carried out for a relaxed LaZn crystal.

Cell lengths 6.5111, 6.0306, 5.5276 Å; angles 90.00, 90.00, 90.00 degrees
Closest atoms and distances in Å follow each position.
Element x y z (fractional)
La 0.1870 0.0641 0.2500  5 Zn 3.04-3.33
La 0.1870 0.4359 0.7500  5 Zn 3.04-3.33
La 0.8130 0.5641 0.2500  5 Zn 3.04-3.33
La 0.8130 0.9359 0.7500  5 Zn 3.04-3.33
Zn 0.3437 0.5891 0.2500  5 La 3.04-3.33, 2 Zn 3.38
Zn 0.3437 0.9109 0.7500  5 La 3.04-3.33, 2 Zn 3.38
Zn 0.6563 0.0891 0.2500  5 La 3.04-3.33, 2 Zn 3.38
Zn 0.6563 0.4109 0.7500  5 La 3.04-3.33, 2 Zn 3.38

Summary:
Energy of formation from the pure elements: -0.086 eV per atom
Mass density: 6.253 g cm⁻³


A plane-wave DFT calculation with GGA-PBE was carried out for a relaxed LaZn2 crystal.

Cell lengths 5.8346, 5.8346, 5.8346 Å; angles 132.76, 98.58, 99.90 degrees
Closest atoms and distances in Å follow each position.
Element x y z (fractional)
La 0.2950 0.0450 0.2500  12 Zn 3.16-3.45
La 0.7050 0.9550 0.7500  12 Zn 3.16-3.45
Zn 0.1018 0.6642 0.4376  4 Zn 2.64-2.86
Zn 0.2733 0.3358 0.9376  4 Zn 2.64-2.86
Zn 0.7267 0.6642 0.0624  4 Zn 2.64-2.86
Zn 0.8982 0.3358 0.5624  4 Zn 2.64-2.86

Summary:
Energy of formation from the pure elements: -0.375 eV per atom
Mass density: 6.704 g cm⁻³


A plane-wave DFT calculation with GGA-PBE was carried out for a relaxed LaZn13 crystal.

Cell lengths 8.5877, 8.5877, 8.5877 Å; angles 60.00, 60.00, 60.00 degrees
Closest atoms and distances in Å follow each position.
Element x y z (fractional)
La 0.2500 0.2500 0.2500  24 Zn 3.52
La 0.7500 0.7500 0.7500  24 Zn 3.52
Zn 0.0000 0.0000 0.0000  12 Zn 2.62
Zn 0.0577 0.3001 0.6999  9 Zn 2.53-2.72
Zn 0.0577 0.6999 0.9423  9 Zn 2.53-2.72
Zn 0.0577 0.9423 0.3001  9 Zn 2.53-2.72
Zn 0.1999 0.4423 0.8001  9 Zn 2.53-2.72
Zn 0.1999 0.5577 0.4423  9 Zn 2.53-2.72
Zn 0.1999 0.8001 0.5577  9 Zn 2.53-2.72
Zn 0.3001 0.0577 0.9423  9 Zn 2.53-2.72
Zn 0.3001 0.6999 0.0577  9 Zn 2.53-2.72
Zn 0.3001 0.9423 0.6999  9 Zn 2.53-2.72
Zn 0.4423 0.1999 0.5577  9 Zn 2.53-2.72
Zn 0.4423 0.5577 0.8001  9 Zn 2.53-2.72
Zn 0.4423 0.8001 0.1999  9 Zn 2.53-2.72
Zn 0.5000 0.5000 0.5000  12 Zn 2.62
Zn 0.5577 0.1999 0.8001  9 Zn 2.53-2.72
Zn 0.5577 0.4423 0.1999  9 Zn 2.53-2.72
Zn 0.5577 0.8001 0.4423  9 Zn 2.53-2.72
Zn 0.6999 0.0577 0.3001  9 Zn 2.53-2.72
Zn 0.6999 0.3001 0.9423  9 Zn 2.53-2.72
Zn 0.6999 0.9423 0.0577  9 Zn 2.53-2.72
Zn 0.8001 0.1999 0.4423  9 Zn 2.53-2.72
Zn 0.8001 0.4423 0.5577  9 Zn 2.53-2.72
Zn 0.8001 0.5577 0.1999  9 Zn 2.53-2.72
Zn 0.9423 0.0577 0.6999  9 Zn 2.53-2.72
Zn 0.9423 0.3001 0.0577  9 Zn 2.53-2.72
Zn 0.9423 0.6999 0.3001  9 Zn 2.53-2.72

Summary:
Energy of formation from the pure elements: -0.202 eV per atom
Mass density: 7.336 g cm⁻³


A plane-wave DFT calculation with GGA-PBE was carried out for a relaxed LaZn crystal.

Cell lengths 7.9186, 16.6930, 4.5426 Å; angles 90.00, 90.00, 90.00 degrees
Closest atoms and distances in Å follow each position.
Element x y z (fractional)
La 0.0474 0.1740 0.2500  2 Zn 3.03-3.21, 1 La 3.37
La 0.0474 0.3260 0.7500  2 Zn 3.03-3.21, 1 La 3.37
La 0.1557 0.0033 0.7500  2 Zn 3.19, 6 La 3.35-3.42
La 0.1557 0.4967 0.2500  2 Zn 3.19, 6 La 3.35-3.42
La 0.4433 0.0730 0.2500  5 Zn 3.05-3.37
La 0.4433 0.4270 0.7500  5 Zn 3.05-3.37
La 0.5567 0.5730 0.2500  5 Zn 3.05-3.37
La 0.5567 0.9270 0.7500  5 Zn 3.05-3.37
La 0.8443 0.5033 0.7500  2 Zn 3.19, 6 La 3.35-3.42
La 0.8443 0.9967 0.2500  2 Zn 3.19, 6 La 3.35-3.42
La 0.9526 0.6740 0.2500  2 Zn 3.03-3.21, 1 La 3.37
La 0.9526 0.8260 0.7500  2 Zn 3.03-3.21, 1 La 3.37
Zn 0.2597 0.6213 0.7500  3 Zn 2.72-2.84
Zn 0.2597 0.8787 0.2500  3 Zn 2.72-2.84
Zn 0.3240 0.7188 0.2500  4 Zn 2.50-2.79
Zn 0.3240 0.7812 0.7500  4 Zn 2.50-2.79
Zn 0.3621 0.2050 0.7500  3 Zn 2.72-2.79
Zn 0.3621 0.2950 0.2500  3 Zn 2.72-2.79
Zn 0.6379 0.7050 0.7500  3 Zn 2.72-2.79
Zn 0.6379 0.7950 0.2500  3 Zn 2.72-2.79
Zn 0.6760 0.2188 0.2500  4 Zn 2.50-2.79
Zn 0.6760 0.2812 0.7500  4 Zn 2.50-2.79
Zn 0.7403 0.1213 0.7500  3 Zn 2.72-2.84
Zn 0.7403 0.3787 0.2500  3 Zn 2.72-2.84

Summary:
Energy of formation from the pure elements: -0.132 eV per atom
Mass density: 6.780 g cm⁻³


A plane-wave DFT calculation with GGA-PBE was carried out for a relaxed La2Zn crystal.

Cell lengths 6.4310, 6.4310, 6.4310 Å; angles 60.00, 60.00, 60.00 degrees
Closest atoms and distances in Å follow each position.
Element x y z (fractional)
La 0.0000 0.0000 0.0000  6 La 3.22
La 0.0000 0.0000 0.5000  6 La 3.22
La 0.0000 0.5000 0.0000  6 La 3.22
La 0.5000 0.0000 0.0000  6 La 3.22
Zn 0.3750 0.3750 0.3750  12 La 3.77, 4 Zn 3.94
Zn 0.6250 0.6250 0.6250  12 La 3.77, 4 Zn 3.94

Summary:
Energy of formation from the pure elements: 0.391 eV per atom
Mass density: 6.061 g cm⁻³


A plane-wave DFT calculation with GGA-PBE was carried out for a relaxed LaZn crystal.

Cell lengths 5.1648, 6.9513, 11.3637 Å; angles 90.00, 90.00, 90.00 degrees
Closest atoms and distances in Å follow each position.
Element x y z (fractional)
La 0.2500 0.0232 0.0858  3 La 3.15-3.25, 2 Zn 3.26
La 0.2500 0.2500 0.3784  8 Zn 3.02-3.33
La 0.2500 0.2500 0.7759  4 Zn 2.98-3.15
La 0.2500 0.4768 0.0858  3 La 3.15-3.25, 2 Zn 3.26
La 0.7500 0.5232 0.9142  3 La 3.15-3.25, 2 Zn 3.26
La 0.7500 0.7500 0.2241  4 Zn 2.98-3.15
La 0.7500 0.7500 0.6216  8 Zn 3.02-3.33
La 0.7500 0.9768 0.9142  3 La 3.15-3.25, 2 Zn 3.26
Zn 0.2500 0.5357 0.5807  3 Zn 2.70-2.98, 3 La 2.98-3.02
Zn 0.2500 0.7500 0.3821  2 Zn 2.70
Zn 0.2500 0.7500 0.8069  2 Zn 2.97, 4 La 3.26
Zn 0.2500 0.9643 0.5807  3 Zn 2.70-2.98, 3 La 2.98-3.02
Zn 0.7500 0.0357 0.4193  3 Zn 2.70-2.98, 3 La 2.98-3.02
Zn 0.7500 0.2500 0.1931  2 Zn 2.97, 4 La 3.26
Zn 0.7500 0.2500 0.6179  2 Zn 2.70
Zn 0.7500 0.4643 0.4193  3 Zn 2.70-2.98, 3 La 2.98-3.02

Summary:
Energy of formation from the pure elements: -0.158 eV per atom
Mass density: 6.653 g cm⁻³